(1)
A plane-wave DFT calculation with SCAN was carried out for a PBEsol-optimized structure of LaMn2Co.

- Size of the total moment: 1.80 μB/cell
- E_tot: -24.0666 eV per atom
- ΔH_f (0 K): 0.1633 eV per atom
- Symmetry: F-43m

Cell lengths 4.4962, 4.4962, 4.4962 Å; angles 60.00, 60.00, 60.00 degrees
With the nearest neighbours (Å) after each atom.
Sites, in units of the cell vectors:
Co 0.5000 0.5000 0.5000  4 La 2.75, 4 Mn 2.75
La 0.7500 0.7500 0.7500  4 Co 2.75, 4 Mn 2.75
Mn 0.2500 0.2500 0.2500  4 Mn 2.75, 4 Co 2.75
Mn 0.0000 0.0000 0.0000  4 Mn 2.75, 4 La 2.75


(2)
A plane-wave DFT calculation with SCAN was carried out for a PBEsol-optimized structure of SrGa2Ge2.

- Size of the total moment: 0.00 μB/cell
- E_tot: -18.9563 eV per atom
- ΔH_f (0 K): -0.3276 eV per atom
- Symmetry: I4/mmm

Cell lengths 4.4428, 4.4428, 6.3356 Å; angles 110.53, 110.53, 90.00 degrees
With the nearest neighbours (Å) after each atom.
Sites, in units of the cell vectors:
Ge 0.3777 0.3777 0.7554  4 Ga 2.63, 1 Ge 2.69
Ga 0.2500 0.7500 0.5000  4 Ge 2.63
Sr 0.0000 0.0000 0.0000  8 Ge 3.42, 8 Ga 3.54
Ga 0.7500 0.2500 0.5000  4 Ge 2.63
Ge 0.6223 0.6223 0.2446  4 Ga 2.63, 1 Ge 2.69


(3)
A plane-wave DFT calculation with SCAN was carried out for a PBEsol-optimized structure of TaNiIr.

- Size of the total moment: 0.00 μB/cell
- Energy above the lowest structure with this stoichiometry: 0.07 eV per formula unit
- E_tot: -51.7597 eV per atom
- ΔH_f (0 K): -0.4745 eV per atom
- Symmetry: I4mm

Cell lengths 3.1974, 3.1974, 4.7220 Å; angles 109.79, 109.79, 90.00 degrees
With the nearest neighbours (Å) after each atom.
Sites, in units of the cell vectors:
Ni 0.6735 0.6735 0.3471  5 Ta 2.60-2.87, 5 Ir 2.69
Ta 0.3279 0.3279 0.6558  5 Ni 2.60-2.87, 5 Ir 2.67-2.73
Ir 0.9986 0.9986 0.9971  5 Ta 2.67-2.73, 5 Ni 2.69


(4)
A plane-wave DFT calculation with SCAN was carried out for a PBEsol-optimized structure of Ti2HgPd2.

- Size of the total moment: 0.00 μB/cell
- Energy above the lowest structure with this stoichiometry: 1.18 eV per formula unit
- E_tot: -33.4207 eV per atom
- ΔH_f (0 K): -0.2659 eV per atom
- Symmetry: I4/mmm

Cell lengths 4.2789, 4.2789, 5.8285 Å; angles 111.53, 111.53, 90.00 degrees
With the nearest neighbours (Å) after each atom.
Sites, in units of the cell vectors:
Ti 0.2500 0.7500 0.5000  4 Pd 2.48
Pd 0.6238 0.6238 0.2475  1 Pd 2.47, 4 Ti 2.48
Hg 0.0000 0.0000 0.0000  8 Pd 3.27, 8 Ti 3.28
Pd 0.3762 0.3762 0.7525  1 Pd 2.47, 4 Ti 2.48
Ti 0.7500 0.2500 0.5000  4 Pd 2.48